The following is a DFT calculation (PBE-GGA) of PrPO4 after structural relaxation.

Summary:
Calculated total energy, eV per atom: -7.89

Cell lengths 5.307, 7.783, 7.948 Å; angles 90.00, 90.00, 90.00 degrees
Space group Cmcm (No. 63)
One atom of each set of equivalent atoms:
Pr 0.000 0.000 0.000 x4
P 0.000 0.395 0.250 x4
O 0.000 0.296 0.082 x8
O 0.242 0.492 0.750 x8

The following is a DFT calculation (PBE-GGA) of PrPO4 after structural relaxation.

Summary:
Calculated total energy, eV per atom: -7.97

Cell lengths 6.419, 6.977, 8.165 Å; angles 90.00, 126.39, 90.00 degrees
Space group P2_1/c (No. 14)
One atom of each set of equivalent atoms:
Pr 0.180 0.158 0.281 x4
P 0.310 0.663 0.196 x4
O 0.115 0.667 0.618 x4
O 0.194 0.504 0.252 x4
O 0.334 0.607 0.025 x4
O 0.411 0.214 0.125 x4

The following is a DFT calculation (PBE-GGA) of Pr3P2O after structural relaxation.

Summary:
Calculated total energy, eV per atom: -6.88

Cell lengths 4.0165, 4.0165, 9.7419 Å; angles 90.00, 90.00, 120.00 degrees
Space group P-3m1 (No. 164)
One atom of each set of equivalent atoms:
Pr 0.0000 0.0000 0.0000 x1
Pr 0.3333 0.6667 0.3544 x2
P 0.3333 0.6667 0.8174 x2
O 0.0000 0.0000 0.5000 x1

The following is a DFT calculation (PBE-GGA) of PrP3O9 after structural relaxation.

Summary:
Calculated total energy, eV per atom: -7.54

Cell lengths 8.538, 11.180, 7.246 Å; angles 90.00, 90.00, 90.00 degrees
Space group C222_1 (No. 20)
One atom of each set of equivalent atoms:
Pr 0.124 0.000 0.000 x4
P 0.010 0.325 0.544 x8
P 0.249 0.500 0.000 x4
O 0.000 0.379 0.750 x4
O 0.019 0.195 0.959 x8
O 0.139 0.390 0.049 x8
O 0.152 0.023 0.331 x8
O 0.155 0.372 0.456 x8

The following is a DFT calculation (PBE-GGA) of PrRePO after structural relaxation.

Summary:
Calculated total energy, eV per atom: -6.74
Distance to the lowest polymorph of the same formula, meV per atom: 1843.2

Cell lengths 4.294, 4.294, 7.030 Å; angles 90.00, 90.00, 90.00 degrees
Space group P4/nmm (No. 129, origin choice 2)
One atom of each set of equivalent atoms:
Pr 0.250 0.750 0.000 x2
Re 0.250 0.250 0.391 x2
P 0.250 0.250 0.720 x2
O 0.250 0.750 0.500 x2

The following is a DFT calculation (PBE-GGA) of PrRePO after structural relaxation.

Summary:
Calculated total energy, eV per atom: -8.59
Distance to the lowest polymorph of the same formula, meV per atom: 0.0

Cell lengths 3.983, 3.983, 8.730 Å; angles 90.00, 90.00, 90.00 degrees
Space group P4/nmm (No. 129, origin choice 2)
One atom of each set of equivalent atoms:
Pr 0.250 0.250 0.141 x2
Re 0.250 0.750 0.500 x2
P 0.250 0.250 0.657 x2
O 0.250 0.750 0.000 x2

The following is a DFT calculation (PBE-GGA) of PrRePO after structural relaxation.

Summary:
Calculated total energy, eV per atom: -7.98
Distance to the lowest polymorph of the same formula, meV per atom: 610.7

Cell lengths 3.970, 5.213, 6.806 Å; angles 90.00, 90.00, 90.00 degrees
Space group Pmc2_1 (No. 26)
One atom of each set of equivalent atoms:
Pr 0.000 0.241 0.000 x2
Re 0.500 0.259 0.372 x2
P 0.500 0.113 0.684 x2
O 0.000 0.358 0.343 x2

The following is a DFT calculation (PBE-GGA) of PrSiPO after structural relaxation.

Summary:
Calculated total energy, eV per atom: -6.05
Distance to the lowest polymorph of the same formula, meV per atom: 559.7

Cell lengths 5.866, 5.866, 4.680 Å; angles 90.00, 90.00, 90.00 degrees
Space group P4/nmm (No. 129, origin choice 2)
One atom of each set of equivalent atoms:
Pr 0.250 0.750 0.000 x2
Si 0.250 0.250 0.494 x2
P 0.250 0.250 0.993 x2
O 0.250 0.750 0.500 x2

The following is a DFT calculation (PBE-GGA) of PrSiPO after structural relaxation.

Summary:
Calculated total energy, eV per atom: -6.61
Distance to the lowest polymorph of the same formula, meV per atom: 0.0

Cell lengths 4.419, 4.419, 7.175 Å; angles 90.00, 90.00, 90.00 degrees
Space group P4/nmm (No. 129, origin choice 2)
One atom of each set of equivalent atoms:
Pr 0.250 0.250 0.143 x2
Si 0.250 0.750 0.500 x2
P 0.250 0.250 0.607 x2
O 0.250 0.750 0.000 x2

The following is a DFT calculation (PBE-GGA) of PrSiPO after structural relaxation.

Summary:
Calculated total energy, eV per atom: -6.47
Distance to the lowest polymorph of the same formula, meV per atom: 139.0

Cell lengths 4.135, 4.729, 6.964 Å; angles 90.00, 90.00, 90.00 degrees
Space group Pmc2_1 (No. 26)
One atom of each set of equivalent atoms:
Pr 0.000 0.213 0.000 x2
Si 0.500 0.303 0.377 x2
P 0.500 0.131 0.697 x2
O 0.000 0.304 0.356 x2

The following is a DFT calculation (PBE-GGA) of SrPrPO after structural relaxation.

Summary:
Calculated total energy, eV per atom: -6.07
Distance to the lowest polymorph of the same formula, meV per atom: 120.6

Cell lengths 4.011, 4.011, 5.675 Å; angles 90.00, 90.00, 90.00 degrees
Space group P4/mmm (No. 123)
One atom of each set of equivalent atoms:
Sr 0.000 0.000 0.000 x1
Pr 0.500 0.500 0.500 x1
P 0.000 0.000 0.500 x1
O 0.500 0.500 0.000 x1

The following is a DFT calculation (PBE-GGA) of SrPrPO after structural relaxation.

Summary:
Calculated total energy, eV per atom: -5.91
Distance to the lowest polymorph of the same formula, meV per atom: 277.5

Cell lengths 4.455, 4.455, 9.402 Å; angles 90.00, 90.00, 90.00 degrees
Space group P4/nmm (No. 129, origin choice 2)
One atom of each set of equivalent atoms:
Sr 0.250 0.750 0.000 x2
Pr 0.250 0.250 0.398 x2
P 0.250 0.250 0.796 x2
O 0.250 0.750 0.500 x2

The following is a DFT calculation (PBE-GGA) of SrPrPO after structural relaxation.

Summary:
Calculated total energy, eV per atom: -6.07
Distance to the lowest polymorph of the same formula, meV per atom: 120.7

Cell lengths 5.675, 5.675, 5.669 Å; angles 90.00, 90.00, 90.00 degrees
Space group P4/nmm (No. 129, origin choice 2)
One atom of each set of equivalent atoms:
Sr 0.250 0.250 0.001 x2
Pr 0.250 0.750 0.500 x2
P 0.250 0.250 0.501 x2
O 0.250 0.750 0.000 x2

The following is a DFT calculation (PBE-GGA) of SrPrPO after structural relaxation.

Summary:
Calculated total energy, eV per atom: -6.19
Distance to the lowest polymorph of the same formula, meV per atom: 0.0

Cell lengths 4.269, 6.876, 6.987 Å; angles 90.00, 90.00, 90.00 degrees
Space group Pmc2_1 (No. 26)
One atom of each set of equivalent atoms:
Sr 0.000 0.123 0.000 x2
Pr 0.500 0.460 0.658 x2
P 0.000 0.310 0.401 x2
O 0.500 0.270 0.933 x2

The following is a DFT calculation (PBE-GGA) of PrTaPO after structural relaxation.

Summary:
Calculated total energy, eV per atom: -7.45
Distance to the lowest polymorph of the same formula, meV per atom: 1148.2

Cell lengths 4.179, 4.179, 7.849 Å; angles 90.00, 90.00, 90.00 degrees
Space group P4/nmm (No. 129, origin choice 2)
One atom of each set of equivalent atoms:
Pr 0.250 0.750 0.000 x2
Ta 0.250 0.250 0.408 x2
P 0.250 0.250 0.739 x2
O 0.250 0.750 0.500 x2

The following is a DFT calculation (PBE-GGA) of PrTaPO after structural relaxation.

Summary:
Calculated total energy, eV per atom: -8.60
Distance to the lowest polymorph of the same formula, meV per atom: 0.0

Cell lengths 4.005, 4.005, 9.143 Å; angles 90.00, 90.00, 90.00 degrees
Space group P4/nmm (No. 129, origin choice 2)
One atom of each set of equivalent atoms:
Pr 0.250 0.250 0.134 x2
Ta 0.250 0.750 0.500 x2
P 0.250 0.250 0.678 x2
O 0.250 0.750 0.000 x2

The following is a DFT calculation (PBE-GGA) of PrTaPO after structural relaxation.

Summary:
Calculated total energy, eV per atom: -8.23
Distance to the lowest polymorph of the same formula, meV per atom: 371.4

Cell lengths 3.832, 6.052, 6.687 Å; angles 90.00, 90.00, 90.00 degrees
Space group Pmc2_1 (No. 26)
One atom of each set of equivalent atoms:
Pr 0.000 0.243 0.000 x2
Ta 0.500 0.276 0.416 x2
P 0.500 0.053 0.710 x2
O 0.000 0.381 0.371 x2

The following is a DFT calculation (PBE-GGA) of TbPrPO after structural relaxation.

Summary:
Calculated total energy, eV per atom: -6.72
Distance to the lowest polymorph of the same formula, meV per atom: 167.1

Cell lengths 4.337, 4.337, 8.967 Å; angles 90.00, 90.00, 90.00 degrees
Space group P4/nmm (No. 129, origin choice 2)
One atom of each set of equivalent atoms:
Tb 0.250 0.250 0.097 x2
Pr 0.250 0.750 0.500 x2
P 0.250 0.250 0.712 x2
O 0.250 0.750 0.000 x2

The following is a DFT calculation (PBE-GGA) of TbPrPO after structural relaxation.

Summary:
Calculated total energy, eV per atom: -6.89
Distance to the lowest polymorph of the same formula, meV per atom: 0.0

Cell lengths 4.237, 7.746, 5.549 Å; angles 90.00, 90.00, 90.00 degrees
Space group Pmc2_1 (No. 26)
One atom of each set of equivalent atoms:
Tb 0.000 0.204 0.000 x2
Pr 0.500 0.367 0.513 x2
P 0.000 0.146 0.499 x2
O 0.500 0.321 0.985 x2

The following is a DFT calculation (PBE-GGA) of TbPrPO after structural relaxation.

Summary:
Calculated total energy, eV per atom: -6.85
Distance to the lowest polymorph of the same formula, meV per atom: 45.1

Cell lengths 4.412, 4.412, 8.935 Å; angles 90.00, 90.00, 90.00 degrees
Space group P4/nmm (No. 129, origin choice 2)
One atom of each set of equivalent atoms:
Tb 0.250 0.750 0.000 x2
Pr 0.250 0.250 0.388 x2
P 0.250 0.250 0.813 x2
O 0.250 0.750 0.500 x2

The following is a DFT calculation (PBE-GGA) of PrTcPO after structural relaxation.

Summary:
Calculated total energy, eV per atom: -6.56
Distance to the lowest polymorph of the same formula, meV per atom: 1666.8

Cell lengths 4.251, 4.251, 9.004 Å; angles 90.00, 90.00, 90.00 degrees
Space group P4/nmm (No. 129, origin choice 2)
One atom of each set of equivalent atoms:
Pr 0.250 0.750 0.000 x2
Tc 0.250 0.250 0.465 x2
P 0.250 0.250 0.221 x2
O 0.250 0.750 0.500 x2

The following is a DFT calculation (PBE-GGA) of PrTcPO after structural relaxation.

Summary:
Calculated total energy, eV per atom: -7.80
Distance to the lowest polymorph of the same formula, meV per atom: 424.7

Cell lengths 4.406, 4.183, 7.104 Å; angles 90.00, 90.00, 90.00 degrees
Space group Pmc2_1 (No. 26)
One atom of each set of equivalent atoms:
Pr 0.000 0.242 0.000 x2
Tc 0.500 0.261 0.337 x2
P 0.500 0.240 0.671 x2
O 0.000 0.259 0.335 x2

The following is a DFT calculation (PBE-GGA) of PrTcPO after structural relaxation.

Summary:
Calculated total energy, eV per atom: -8.22
Distance to the lowest polymorph of the same formula, meV per atom: 0.0

Cell lengths 4.077, 4.077, 8.399 Å; angles 90.00, 90.00, 90.00 degrees
Space group P4/nmm (No. 129, origin choice 2)
One atom of each set of equivalent atoms:
Pr 0.250 0.250 0.142 x2
Tc 0.250 0.750 0.500 x2
P 0.250 0.250 0.642 x2
O 0.250 0.750 0.000 x2